{
  "formula": "MnCu3Rh",
  "functional": "PBE",
  "state": "relaxed",
  "lattice_angstrom": [[-2.9077, -1.3246, -3.3027], [-2.4812, -2.3024, 3.1079], [-2.5506, 3.7498, 0.7416]],
  "species": ["Cu", "Cu", "Cu", "Rh", "Mn"],
  "fractional_positions": [[0.0000, 0.5000, 0.0000], [0.5000, 0.0000, 0.0000], [0.0000, 0.0000, 0.5000], [0.0000, 0.0000, 0.0000], [0.5000, 0.5000, 0.5000]],
  "crystal_system": "cubic",
  "de_polymorph_mev_per_atom": 0,
  "formation_enthalpy_0k_ev_per_atom": 1.101
}

***

{
  "formula": "BaCdSe",
  "functional": "PBE",
  "state": "relaxed",
  "lattice_angstrom": [[-3.9645, 1.3887, 2.1305], [0.1120, -4.0910, -2.3314], [1.6412, -2.6977, 4.8125]],
  "species": ["Cd", "Ba", "Se"],
  "fractional_positions": [[0.6667, 0.3333, 0.3845], [0.0000, 0.0000, 0.9573], [0.3333, 0.6667, 0.6583]],
  "formation_energy_uncorrected_kj_per_mol_fu": -286,
  "crystal_system": "trigonal",
  "de_polymorph_mev_per_atom": 142
}

***

{
  "formula": "RbNiWSe2",
  "functional": "PBE",
  "state": "relaxed",
  "lattice_angstrom": [[-1.8133, 4.1292, 1.8260], [-4.8787, 0.3282, -5.5870], [-3.1880, -2.5644, 2.6332]],
  "species": ["Rb", "Se", "Se", "Ni", "W"],
  "fractional_positions": [[0.0000, 0.5000, 0.0000], [0.5000, 0.0000, 0.0000], [0.0000, 0.0000, 0.5000], [0.5000, 0.5000, 0.5000], [0.0000, 0.0000, 0.0000]],
  "formation_energy_uncorrected_kj_per_mol_fu": 448,
  "crystal_system": "tetragonal",
  "de_polymorph_mev_per_atom": 890
}